1.
Here is a relaxed PIrAuC crystal from Alexandria via LeMat-Bulk. Energies are from PBE.

Cell: 4.512 2.949 8.163 Å, 90.00 90.00 90.00°
Sites, in units of the cell vectors:
C1 0.500 0.500 0.463
P1 0.500 0.000 0.329
Au1 0.000 0.500 0.515
Ir1 0.500 0.500 0.718
Au2 0.500 0.000 0.015
Ir2 0.000 0.000 0.218
C2 0.000 0.000 0.963
P2 0.000 0.500 0.829

Properties
The value obtained for the formation energy is 409 meV/atom. The calculation puts the polymorph energy (0 for the lowest one) at 35.1 meV per atom.

---

2.
Here is a relaxed Cs2UPb2Se6 crystal from Alexandria via LeMat-Bulk. Energies are from PBE.

Cell: 7.497 7.497 8.841 Å, 98.95 98.95 119.12°
Sites, in units of the cell vectors:
Se1 0.068 0.365 0.686
Cs1 0.177 0.823 0.000
Se2 0.635 0.932 0.314
Se3 0.226 0.226 0.316
Se4 0.365 0.068 0.686
Pb1 0.669 0.331 0.500
Cs2 0.823 0.177 0.000
Pb2 0.331 0.669 0.500
Se5 0.932 0.635 0.314
Se6 0.774 0.774 0.684
U1 0.000 0.000 0.500

Properties
The uncorrected formation energy is -10.80 eV per formula unit.

---

3.
Here is a relaxed Sm4GeIr crystal from Alexandria via LeMat-Bulk. Energies are from PBE.

Cell: 6.209 8.063 8.149 Å, 114.22 105.73 102.82°
Sites, in units of the cell vectors:
Ir1 0.750 0.000 0.999
Sm1 0.215 0.302 0.361
Ir2 0.250 0.000 0.001
Sm2 0.971 0.772 0.130
Ge1 0.380 0.630 0.259
Sm3 0.029 0.228 0.870
Sm4 0.646 0.060 0.361
Sm5 0.342 0.643 0.870
Sm6 0.658 0.357 0.130
Sm7 0.785 0.698 0.639
Sm8 0.354 0.940 0.639
Ge2 0.620 0.370 0.741

Properties
The value obtained for the formation energy is -574 meV/atom.

---

4.
Here is a relaxed BeGa2Ir crystal from Alexandria via LeMat-Bulk. Energies are from PBE.

Cell: 9.360 9.360 6.963 Å, 47.77 47.77 90.00°
Sites, in units of the cell vectors:
Ga1 0.875 0.625 0.250
Ga2 0.875 0.125 0.250
Ir1 0.000 0.000 0.000
Ir2 0.750 0.250 0.500
Ga3 0.375 0.125 0.750
Be1 0.500 0.500 0.000
Be2 0.250 0.750 0.500
Ga4 0.875 0.125 0.750

Properties
The value obtained for the formation energy is -49 meV/atom.

---

5.
Here is a relaxed PmSm2DyP4 crystal from Alexandria via LeMat-Bulk. Energies are from PBE.

Cell: 4.091 7.081 7.081 Å, 109.46 90.00 90.00°
Sites, in units of the cell vectors:
Dy1 0.000 0.000 0.000
P1 0.500 0.755 0.754
Sm1 0.000 0.500 0.500
P2 0.000 0.753 0.249
Pm1 0.500 0.500 0.000
Sm2 0.500 0.000 0.500
P3 0.000 0.247 0.751
P4 0.500 0.245 0.246

Properties
The value obtained for the formation energy is -1577 meV/atom.

---

6.
Here is a relaxed SrPm2Se4 crystal from Alexandria via LeMat-Bulk. Energies are from PBE.

Cell: 4.302 12.171 15.405 Å, 90.00 90.00 90.00°
Sites, in units of the cell vectors:
Pm1 0.250 0.938 0.606
Se1 0.750 0.566 0.413
Pm2 0.750 0.604 0.600
Se2 0.750 0.274 0.310
Se3 0.250 0.434 0.587
Se4 0.250 0.726 0.690
Pm3 0.250 0.896 0.100
Sr1 0.250 0.738 0.339
Se5 0.250 0.154 0.512
Se6 0.750 0.846 0.488
Pm4 0.750 0.562 0.106
Se7 0.250 0.226 0.810
Se8 0.250 0.995 0.283
Se9 0.750 0.774 0.190
Se10 0.750 0.346 0.012
Sr2 0.250 0.238 0.161
Se11 0.750 0.005 0.717
Se12 0.750 0.505 0.783
Pm5 0.750 0.062 0.394
Sr3 0.750 0.262 0.661
Se13 0.750 0.066 0.087
Pm6 0.750 0.104 0.900
Sr4 0.750 0.762 0.839
Se14 0.250 0.495 0.217
Pm7 0.250 0.396 0.400
Pm8 0.250 0.438 0.894
Se15 0.250 0.654 0.988
Se16 0.250 0.934 0.913

Properties
The uncorrected formation energy is -13.58 eV per formula unit. The calculation puts the polymorph energy (0 for the lowest one) at 0.0 meV per atom.

---

| no. | magnetization (μB per formula unit) |
| --- | --- |
| 1 | 0.0 |
| 2 | 0.0 |
| 3 | 0.0 |
| 4 | 0.0 |
| 5 | 0.0 |
| 6 | 0.0 |